Here is a relaxed CoCN2O crystal from Alexandria via LeMat-Bulk. Energies are from PBE+U.

Summary:
theoretical density	3.75	g/cm3
E_tot	-28.6	eV per cell
size of the total moment	2.4	μB per formula unit
crystal system	tetragonal

abc: 2.886 2.886 6.112
angles: 90.00 90.00 90.00
Last column: magnetic moment on the atom in μB.
Atoms (fractional coordinates):
N1 0.000 0.500 0.000  0.01
N2 0.500 0.000 0.000  0.01
Co1 0.500 0.500 0.500  2.24
O1 0.000 0.000 0.500  0.09
C1 0.000 0.000 0.000  0.00